Crystalline Mg2Zn2Se at its relaxed geometry. Source: Alexandria via LeMat-Bulk, functional GGA-PBE.

Unit cell a=4.397 b=4.397 c=6.572 alpha=90.00 beta=90.00 gamma=123.71
Sites, in units of the cell vectors:
Mg 0.000 0.000 0.237
Mg 0.000 0.000 0.763
Zn 0.336 0.664 0.000
Zn 0.664 0.336 0.000
Se 0.500 0.500 0.500

The value obtained for the energy relative to the lowest polymorph listed for this composition is 41 meV per atom. As for the mass density: 4.1 g cm⁻³. The uncorrected energy comes out at -10.74 eV for the cell shown. The raw formation energy comes out at -302.8 meV/atom.



Crystalline MgZn2Se at its relaxed geometry. Source: Alexandria via LeMat-Bulk, functional GGA-PBE.

Unit cell a=4.756 b=4.756 c=9.455 alpha=90.00 beta=90.00 gamma=117.57
Sites, in units of the cell vectors:
Mg 0.000 0.000 0.000
Mg 0.000 0.000 0.500
Zn 0.347 0.653 0.523
Zn 0.347 0.653 0.977
Zn 0.653 0.347 0.023
Zn 0.653 0.347 0.477
Se 0.177 0.823 0.750
Se 0.823 0.177 0.250

As for the mass density: 4.1 g cm⁻³. The uncorrected energy comes out at -15.77 eV for the cell shown. The raw formation energy comes out at -63.9 meV/atom.



Crystalline MgZn2Se3 at its relaxed geometry. Source: Alexandria via LeMat-Bulk, functional GGA-PBE.

Unit cell a=3.798 b=3.798 c=19.378 alpha=90.00 beta=90.00 gamma=120.00
Sites, in units of the cell vectors:
Mg 0.000 0.000 0.250
Mg 0.000 0.000 0.750
Zn 0.333 0.667 0.080
Zn 0.333 0.667 0.420
Zn 0.667 0.333 0.580
Zn 0.667 0.333 0.920
Se 0.000 0.000 0.000
Se 0.000 0.000 0.500
Se 0.333 0.667 0.660
Se 0.333 0.667 0.840
Se 0.667 0.333 0.160
Se 0.667 0.333 0.340

The value obtained for the energy relative to the lowest polymorph listed for this composition is 283 meV per atom. As for the mass density: 5.4 g cm⁻³. The uncorrected energy comes out at -36.42 eV for the cell shown. The raw formation energy comes out at -601.9 meV/atom.



Crystalline MgZnSe at its relaxed geometry. Source: Alexandria via LeMat-Bulk, functional GGA-PBE.

Unit cell a=3.785 b=11.783 c=6.106 alpha=90.00 beta=90.00 gamma=90.00
Sites, in units of the cell vectors:
Mg 0.000 0.115 0.000
Mg 0.000 0.375 0.714
Mg 0.000 0.625 0.214
Mg 0.000 0.885 0.500
Zn 0.500 0.182 0.678
Zn 0.500 0.342 0.376
Zn 0.500 0.658 0.876
Zn 0.500 0.818 0.178
Se 0.000 0.107 0.433
Se 0.000 0.402 0.138
Se 0.000 0.598 0.638
Se 0.000 0.893 0.933

The value obtained for the energy relative to the lowest polymorph listed for this composition is 171 meV per atom. As for the mass density: 4.1 g cm⁻³. The uncorrected energy comes out at -30.67 eV for the cell shown. The raw formation energy comes out at -438.2 meV/atom.



Crystalline Mg2ZnSe at its relaxed geometry. Source: Alexandria via LeMat-Bulk, functional GGA-PBE.

Unit cell a=13.367 b=13.367 c=3.776 alpha=90.00 beta=90.00 gamma=164.48
Sites, in units of the cell vectors:
Mg 0.051 0.949 0.750
Mg 0.166 0.834 0.250
Mg 0.834 0.166 0.750
Mg 0.949 0.051 0.250
Zn 0.245 0.755 0.750
Zn 0.755 0.245 0.250
Se 0.408 0.592 0.750
Se 0.592 0.408 0.250

The value obtained for the energy relative to the lowest polymorph listed for this composition is 110 meV per atom. As for the mass density: 3.6 g cm⁻³. The uncorrected energy comes out at -18.91 eV for the cell shown. The raw formation energy comes out at -376.3 meV/atom.



Crystalline MgZnSe at its relaxed geometry. Source: Alexandria via LeMat-Bulk, functional GGA-PBE.

Unit cell a=7.107 b=7.107 c=4.509 alpha=90.00 beta=90.00 gamma=120.00
Sites, in units of the cell vectors:
Mg 0.000 0.000 0.000
Mg 0.333 0.667 0.500
Mg 0.667 0.333 0.500
Zn 0.000 0.516 0.000
Zn 0.484 0.484 0.000
Zn 0.516 0.000 0.000
Se 0.000 0.276 0.500
Se 0.276 0.000 0.500
Se 0.724 0.724 0.500

The value obtained for the energy relative to the lowest polymorph listed for this composition is 278 meV per atom. As for the mass density: 4.3 g cm⁻³. The uncorrected energy comes out at -22.04 eV for the cell shown. The raw formation energy comes out at -331.7 meV/atom.



Crystalline MgZn2Se3 at its relaxed geometry. Source: Alexandria via LeMat-Bulk, functional GGA-PBE.

Unit cell a=8.264 b=8.264 c=5.967 alpha=90.00 beta=90.00 gamma=108.82
Sites, in units of the cell vectors:
Mg 0.123 0.877 0.750
Mg 0.877 0.123 0.250
Zn 0.207 0.207 0.000
Zn 0.207 0.207 0.500
Zn 0.793 0.793 0.000
Zn 0.793 0.793 0.500
Se 0.091 0.909 0.250
Se 0.139 0.402 0.250
Se 0.402 0.139 0.750
Se 0.598 0.861 0.250
Se 0.861 0.598 0.750
Se 0.909 0.091 0.750

The value obtained for the energy relative to the lowest polymorph listed for this composition is 277 meV per atom. As for the mass density: 3.4 g cm⁻³. The uncorrected energy comes out at -36.50 eV for the cell shown. The raw formation energy comes out at -608.7 meV/atom.



Crystalline Mg2Zn2Se at its relaxed geometry. Source: Alexandria via LeMat-Bulk, functional GGA-PBE.

Unit cell a=8.200 b=8.200 c=8.200 alpha=154.80 beta=154.80 gamma=35.93
Sites, in units of the cell vectors:
Mg 0.099 0.099 0.000
Mg 0.901 0.901 0.000
Zn 0.250 0.750 0.500
Zn 0.750 0.250 0.500
Se 0.500 0.500 0.000

The value obtained for the energy relative to the lowest polymorph listed for this composition is 71 meV per atom. As for the mass density: 4.3 g cm⁻³. The uncorrected energy comes out at -10.58 eV for the cell shown. The raw formation energy comes out at -272.3 meV/atom.



Crystalline Mg2ZnSe at its relaxed geometry. Source: Alexandria via LeMat-Bulk, functional GGA-PBE.

Unit cell a=10.917 b=10.917 c=10.917 alpha=159.03 beta=159.03 gamma=29.83
Sites, in units of the cell vectors:
Mg 0.000 0.500 0.500
Mg 0.143 0.143 0.000
Mg 0.500 0.000 0.500
Mg 0.857 0.857 0.000
Zn 0.250 0.750 0.500
Zn 0.750 0.250 0.500
Se 0.404 0.404 0.000
Se 0.596 0.596 0.000

The value obtained for the energy relative to the lowest polymorph listed for this composition is 165 meV per atom. As for the mass density: 3.8 g cm⁻³. The uncorrected energy comes out at -18.47 eV for the cell shown. The raw formation energy comes out at -321.4 meV/atom.



Crystalline MgZnSe at its relaxed geometry. Source: Alexandria via LeMat-Bulk, functional GGA-PBE.

Unit cell a=6.472 b=6.472 c=6.472 alpha=146.59 beta=146.59 gamma=47.98
Sites, in units of the cell vectors:
Mg 0.000 0.000 0.000
Zn 0.225 0.225 0.000
Se 0.439 0.439 0.000

The value obtained for the energy relative to the lowest polymorph listed for this composition is 172 meV per atom. As for the mass density: 3.4 g cm⁻³. The uncorrected energy comes out at -7.67 eV for the cell shown. The raw formation energy comes out at -437.9 meV/atom.



Crystalline MgZnSe at its relaxed geometry. Source: Alexandria via LeMat-Bulk, functional GGA-PBE.

Unit cell a=5.139 b=5.139 c=5.314 alpha=90.00 beta=90.00 gamma=120.00
Sites, in units of the cell vectors:
Mg 0.333 0.667 0.250
Mg 0.667 0.333 0.750
Zn 0.000 0.000 0.000
Zn 0.000 0.000 0.500
Se 0.333 0.667 0.750
Se 0.667 0.333 0.250

The value obtained for the energy relative to the lowest polymorph listed for this composition is 186 meV per atom. As for the mass density: 4.6 g cm⁻³. The uncorrected energy comes out at -15.25 eV for the cell shown. The raw formation energy comes out at -424.0 meV/atom.



Crystalline Mg2Zn2Se at its relaxed geometry. Source: Alexandria via LeMat-Bulk, functional GGA-PBE.

Unit cell a=8.783 b=8.783 c=4.674 alpha=90.00 beta=90.00 gamma=145.53
Sites, in units of the cell vectors:
Mg 0.145 0.855 0.500
Mg 0.335 0.665 0.499
Mg 0.665 0.335 0.999
Mg 0.855 0.145 0.000
Zn 0.032 0.968 0.001
Zn 0.238 0.762 0.000
Zn 0.762 0.238 0.500
Zn 0.968 0.032 0.501
Se 0.410 0.590 0.999
Se 0.590 0.410 0.499

The value obtained for the energy relative to the lowest polymorph listed for this composition is 98 meV per atom. As for the mass density: 4.2 g cm⁻³. The uncorrected energy comes out at -20.89 eV for the cell shown. The raw formation energy comes out at -245.0 meV/atom.